# Li4Mn3Cr5O16, relaxed, DFT PBE+U
# N(E_F) = 0.0726 states/eV/atom
# V = 10.1 A^3/atom
# total DFT energy (no corrections) = -7.0571 eV per atom
data_Li4Mn3Cr5O16
_space_group_name_H-M_alt 'C 1 m 1'
_space_group_IT_number 8
_space_group_name_Hall 'C -2y'
_cell_length_a 10.154
_cell_length_b 5.855
_cell_length_c 9.483
_cell_angle_alpha 90.00
_cell_angle_beta 90.47
_cell_angle_gamma 90.00
loop_
_atom_site_label
_atom_site_type_symbol
_atom_site_fract_x
_atom_site_fract_y
_atom_site_fract_z
Li1 Li 0.000 0.000 0.000
Li2 Li 0.003 0.000 0.503
Li3 Li 0.162 0.500 0.898
Li4 Li 0.326 0.000 0.398
Mn1 Mn 0.082 0.253 0.219
Mn2 Mn 0.168 0.000 0.720
Cr1 Cr 0.166 0.500 0.490
Cr2 Cr 0.329 0.500 0.218
Cr3 Cr 0.335 0.000 0.990
Cr4 Cr 0.414 0.247 0.715
O1 O 0.003 0.000 0.316
O2 O 0.003 0.000 0.814
O3 O 0.016 0.500 0.341
O4 O 0.081 0.245 0.606
O5 O 0.159 0.500 0.113
O6 O 0.160 0.000 0.109
O7 O 0.234 0.277 0.343
O8 O 0.256 0.220 0.842
O9 O 0.325 0.000 0.609
O10 O 0.334 0.500 0.608
O11 O 0.421 0.256 0.104
O12 O 0.477 0.000 0.841